1.
A plane-wave DFT calculation with PBE-GGA was carried out for La2InW after structural relaxation.

Summary:
The calculation puts the energy of formation at 1.9 eV/f.u. The space group is Cmm2, No. 35.

Unit cell a=3.202 b=3.202 c=11.081 alpha=90.00 beta=90.00 gamma=113.50
Element x y z (fractional)
1 La 0.000 0.000 0.000
2 La 0.500 0.500 0.328
3 In 0.000 0.000 0.586
4 W 0.500 0.500 0.788

2.
A plane-wave DFT calculation with PBE-GGA was carried out for Sr3Ac3Tl2In after structural relaxation.

Summary:
The calculation puts the energy of formation at -2.1 eV/f.u. The space group is P-62m, No. 189.

Unit cell a=9.722 b=9.722 c=4.243 alpha=90.00 beta=90.00 gamma=120.00
Element x y z (fractional)
1 Sr 0.000 0.721 0.000
2 Sr 0.279 0.279 0.000
3 Sr 0.721 0.000 0.000
4 Ac 0.000 0.384 0.500
5 Ac 0.384 0.000 0.500
6 Ac 0.616 0.616 0.500
7 Tl 0.333 0.667 0.000
8 Tl 0.667 0.333 0.000
9 In 0.000 0.000 0.500

3.
A plane-wave DFT calculation with PBE-GGA was carried out for PuNiCl4 after structural relaxation.

Summary:
The space group is I-4, No. 82. The calculation puts the uncorrected formation energy at -1.262 eV per atom.

Unit cell a=5.657 b=5.657 c=5.657 alpha=111.21 beta=111.21 gamma=106.05
Element x y z (fractional)
1 Pu 0.000 0.000 0.000
2 Ni 0.250 0.750 0.500
3 Cl 0.117 0.104 0.574
4 Cl 0.457 0.883 0.987
5 Cl 0.530 0.543 0.426
6 Cl 0.896 0.470 0.013

4.
A plane-wave DFT calculation with PBE-GGA was carried out for SnSb2H2Pt7 after structural relaxation.

Summary:
The uncorrected energy is -63.5 eV/cell. The space group is C2/m, No. 12.

Unit cell a=4.049 b=4.049 c=11.954 alpha=98.41 beta=98.41 gamma=87.15
Element x y z (fractional)
1 Sn 0.000 0.000 0.000
2 Sb 0.220 0.220 0.420
3 Sb 0.780 0.780 0.580
4 H 0.145 0.145 0.739
5 H 0.855 0.855 0.261
6 Pt 0.077 0.565 0.172
7 Pt 0.383 0.383 0.651
8 Pt 0.435 0.923 0.828
9 Pt 0.500 0.500 0.000
10 Pt 0.565 0.077 0.172
11 Pt 0.617 0.617 0.349
12 Pt 0.923 0.435 0.828

5.
A plane-wave DFT calculation with PBE-GGA was carried out for Ce3Pm2Ge4 after structural relaxation.

Summary:
The polymorph energy (0 for the lowest one) comes out at 174.7 meV per atom. The calculation puts the energy of formation at -5.2 eV/f.u. The space group is Cmce, No. 64.

Unit cell a=8.953 b=8.953 c=8.508 alpha=90.00 beta=90.00 gamma=135.40
Element x y z (fractional)
1 Ce 0.000 0.000 0.000
2 Ce 0.043 0.457 0.250
3 Ce 0.457 0.043 0.750
4 Ce 0.500 0.500 0.500
5 Ce 0.543 0.957 0.250
6 Ce 0.957 0.543 0.750
7 Pm 0.106 0.894 0.413
8 Pm 0.394 0.606 0.913
9 Pm 0.606 0.394 0.087
10 Pm 0.894 0.106 0.587
11 Ge 0.182 0.818 0.056
12 Ge 0.218 0.282 0.250
13 Ge 0.282 0.218 0.750
14 Ge 0.318 0.682 0.556
15 Ge 0.682 0.318 0.444
16 Ge 0.718 0.782 0.250
17 Ge 0.782 0.718 0.750
18 Ge 0.818 0.182 0.944

6.
A plane-wave DFT calculation with PBE-GGA was carried out for HoPaCu2O8 after structural relaxation.

Summary:
The space group is I-4m2, No. 119. The calculation puts the uncorrected formation energy at -1.740 eV per atom.

Unit cell a=5.985 b=5.985 c=5.985 alpha=106.87 beta=106.87 gamma=114.81
Element x y z (fractional)
1 Ho 0.000 0.000 0.000
2 Pa 0.750 0.250 0.500
3 Cu 0.250 0.750 0.500
4 Cu 0.500 0.500 0.000
5 O 0.042 0.365 0.323
6 O 0.042 0.719 0.677
7 O 0.114 0.299 0.815
8 O 0.281 0.958 0.323
9 O 0.484 0.299 0.185
10 O 0.635 0.958 0.677
11 O 0.701 0.516 0.815
12 O 0.701 0.886 0.185

7.
A plane-wave DFT calculation with PBE-GGA was carried out for Gd2Ti2O7 after structural relaxation.

Summary:
The space group is Fd-3m, No. 227. The calculation puts the uncorrected formation energy at -3.285 eV per atom.

Unit cell a=7.252 b=7.252 c=7.252 alpha=60.00 beta=60.00 gamma=60.00
Element x y z (fractional)
1 Gd 0.000 0.000 0.000
2 Gd 0.000 0.000 0.500
3 Gd 0.000 0.500 0.000
4 Gd 0.500 0.000 0.000
5 Ti 0.000 0.500 0.500
6 Ti 0.500 0.000 0.500
7 Ti 0.500 0.500 0.000
8 Ti 0.500 0.500 0.500
9 O 0.125 0.125 0.125
10 O 0.172 0.172 0.578
11 O 0.172 0.578 0.172
12 O 0.172 0.578 0.578
13 O 0.422 0.422 0.828
14 O 0.422 0.828 0.422
15 O 0.422 0.828 0.828
16 O 0.578 0.172 0.172
17 O 0.578 0.172 0.578
18 O 0.578 0.578 0.172
19 O 0.828 0.422 0.422
20 O 0.828 0.422 0.828
21 O 0.828 0.828 0.422
22 O 0.875 0.875 0.875

8.
A plane-wave DFT calculation with PBE-GGA was carried out for TlRuBr after structural relaxation.

Summary:
The polymorph energy (0 for the lowest one) comes out at 180.4 meV per atom. The space group is F-43m, No. 216. The calculation puts the uncorrected formation energy at 0.695 eV per atom.

Unit cell a=4.642 b=4.642 c=4.642 alpha=60.00 beta=60.00 gamma=60.00
Element x y z (fractional)
1 Tl 0.000 0.000 0.000
2 Ru 0.750 0.750 0.750
3 Br 0.500 0.500 0.500

9.
A plane-wave DFT calculation with PBE-GGA was carried out for Pa5SbAs4 after structural relaxation.

Summary:
The space group is Immm, No. 71. The calculation puts the uncorrected formation energy at -0.911 eV per atom.

Unit cell a=11.007 b=11.007 c=11.007 alpha=158.37 beta=149.02 gamma=38.10
Element x y z (fractional)
1 Pa 0.000 0.000 0.000
2 Pa 0.198 0.198 0.000
3 Pa 0.392 0.392 0.000
4 Pa 0.608 0.608 0.000
5 Pa 0.802 0.802 0.000
6 Sb 0.500 0.000 0.500
7 As 0.099 0.599 0.500
8 As 0.296 0.796 0.500
9 As 0.704 0.204 0.500
10 As 0.901 0.401 0.500

10.
A plane-wave DFT calculation with PBE-GGA was carried out for CaGa4CoPt2 after structural relaxation.

Summary:
The calculation puts the energy of formation at -4.4 eV/f.u. The space group is R-3m, No. 166.

Unit cell a=9.215 b=9.215 c=9.215 alpha=26.59 beta=26.59 gamma=26.59
Element x y z (fractional)
1 Ca 0.000 0.000 0.000
2 Ga 0.135 0.135 0.135
3 Ga 0.403 0.403 0.403
4 Ga 0.597 0.597 0.597
5 Ga 0.865 0.865 0.865
6 Co 0.500 0.500 0.500
7 Pt 0.235 0.235 0.235
8 Pt 0.765 0.765 0.765

11.
A plane-wave DFT calculation with PBE-GGA was carried out for Mg2IrAu after structural relaxation.

Summary:
The calculation puts the energy of formation at -0.2 eV/f.u. The space group is I-42d, No. 122.

Unit cell a=5.808 b=5.808 c=5.808 alpha=103.74 beta=103.74 gamma=121.67
Element x y z (fractional)
1 Mg 0.121 0.125 0.496
2 Mg 0.375 0.879 0.004
3 Mg 0.629 0.625 0.504
4 Mg 0.875 0.371 0.996
5 Ir 0.000 0.000 0.000
6 Ir 0.750 0.250 0.500
7 Au 0.250 0.750 0.500
8 Au 0.500 0.500 0.000

12.
A plane-wave DFT calculation with PBE-GGA was carried out for TmThNi after structural relaxation.

Summary:
The polymorph energy (0 for the lowest one) comes out at 109.0 meV per atom. The calculation puts the energy of formation at -0.6 eV/f.u. The space group is I4mm, No. 107.

Unit cell a=6.469 b=6.469 c=6.469 alpha=148.95 beta=148.95 gamma=44.49
Element x y z (fractional)
1 Tm 0.000 0.000 0.000
2 Th 0.723 0.723 0.000
3 Ni 0.360 0.360 0.000

13.
A plane-wave DFT calculation with PBE-GGA was carried out for Se2IN2 after structural relaxation.

Summary:
The polymorph energy (0 for the lowest one) comes out at 768.2 meV per atom. The space group is P4/mmm, No. 123. The calculation puts the uncorrected formation energy at 2.359 eV per atom.

Unit cell a=5.641 b=5.641 c=3.985 alpha=90.00 beta=90.00 gamma=90.00
Element x y z (fractional)
1 Se 0.000 0.500 0.000
2 Se 0.500 0.000 0.000
3 I 0.000 0.000 0.000
4 N 0.000 0.000 0.500
5 N 0.500 0.500 0.500

14.
A plane-wave DFT calculation with PBE-GGA was carried out for PmPr after structural relaxation.

Summary:
The polymorph energy (0 for the lowest one) comes out at 25.1 meV per atom. The calculation puts the energy of formation at 0.1 eV/f.u. The space group is P-6m2, No. 187.

Unit cell a=3.724 b=3.724 c=5.947 alpha=90.00 beta=90.00 gamma=120.00
Element x y z (fractional)
1 Pm 0.000 0.000 0.000
2 Pr 0.667 0.333 0.500

15.
A plane-wave DFT calculation with PBE-GGA was carried out for SrCa2Se after structural relaxation.

Summary:
The space group is C2/m, No. 12. The calculation puts the uncorrected formation energy at -0.491 eV per atom.

Unit cell a=7.303 b=7.303 c=4.685 alpha=108.61 beta=108.61 gamma=126.02
Element x y z (fractional)
1 Sr 0.000 0.000 0.000
2 Ca 0.000 0.500 0.500
3 Ca 0.500 0.000 0.500
4 Se 0.500 0.500 0.000

16.
A plane-wave DFT calculation with PBE-GGA was carried out for Tb3NdAu2 after structural relaxation.

Summary:
The polymorph energy (0 for the lowest one) comes out at 119.4 meV per atom. The calculation puts the energy of formation at -2.9 eV/f.u. The space group is C2/m, No. 12.

Unit cell a=8.506 b=8.506 c=8.611 alpha=113.05 beta=113.05 gamma=35.88
Element x y z (fractional)
1 Tb 0.063 0.063 0.232
2 Tb 0.306 0.306 0.500
3 Tb 0.375 0.375 0.989
4 Tb 0.625 0.625 0.011
5 Tb 0.694 0.694 0.500
6 Tb 0.937 0.937 0.768
7 Nd 0.135 0.135 0.703
8 Nd 0.865 0.865 0.297
9 Au 0.217 0.217 0.122
10 Au 0.499 0.499 0.662
11 Au 0.501 0.501 0.338
12 Au 0.783 0.783 0.878

17.
A plane-wave DFT calculation with PBE-GGA was carried out for Ho2PuMn after structural relaxation.

Summary:
The calculation puts the energy of formation at 1.2 eV/f.u. The space group is R-3m, No. 166.

Unit cell a=10.525 b=10.525 c=10.525 alpha=18.55 beta=18.55 gamma=18.55
Element x y z (fractional)
1 Ho 0.240 0.240 0.240
2 Ho 0.760 0.760 0.760
3 Pu 0.000 0.000 0.000
4 Mn 0.500 0.500 0.500

18.
A plane-wave DFT calculation with PBE-GGA was carried out for Cs5AuI after structural relaxation.

Summary:
The space group is P2_1/c, No. 14. The calculation puts the uncorrected formation energy at -0.500 eV per atom.

Unit cell a=9.289 b=18.657 c=13.677 alpha=90.00 beta=110.87 gamma=90.00
Element x y z (fractional)
1 Cs 0.008 0.134 0.029
2 Cs 0.008 0.366 0.529
3 Cs 0.156 0.102 0.443
4 Cs 0.156 0.398 0.943
5 Cs 0.280 0.655 0.864
6 Cs 0.280 0.845 0.364
7 Cs 0.356 0.180 0.831
8 Cs 0.356 0.320 0.331
9 Cs 0.411 0.589 0.282
10 Cs 0.411 0.911 0.782
11 Cs 0.589 0.089 0.218
12 Cs 0.589 0.411 0.718
13 Cs 0.644 0.680 0.669
14 Cs 0.644 0.820 0.169
15 Cs 0.720 0.155 0.636
16 Cs 0.720 0.345 0.136
17 Cs 0.844 0.602 0.057
18 Cs 0.844 0.898 0.557
19 Cs 0.992 0.634 0.471
20 Cs 0.992 0.866 0.971
21 Au 0.357 0.241 0.086
22 Au 0.357 0.259 0.586
23 Au 0.643 0.741 0.414
24 Au 0.643 0.759 0.914
25 I 0.057 0.022 0.798
26 I 0.057 0.478 0.298
27 I 0.943 0.522 0.702
28 I 0.943 0.978 0.202

19.
A plane-wave DFT calculation with PBE-GGA was carried out for Pu3RuS6 after structural relaxation.

Summary:
The space group is R-3, No. 148. The calculation puts the uncorrected formation energy at -1.308 eV per atom.

Unit cell a=7.649 b=7.649 c=7.649 alpha=98.42 beta=98.42 gamma=98.42
Element x y z (fractional)
1 Pu 0.120 0.616 0.792
2 Pu 0.208 0.880 0.384
3 Pu 0.384 0.208 0.880
4 Pu 0.616 0.792 0.120
5 Pu 0.792 0.120 0.616
6 Pu 0.880 0.384 0.208
7 Ru 0.000 0.000 0.000
8 Ru 0.500 0.500 0.500
9 S 0.068 0.304 0.932
10 S 0.068 0.932 0.696
11 S 0.190 0.531 0.440
12 S 0.304 0.932 0.068
13 S 0.440 0.190 0.531
14 S 0.469 0.560 0.810
15 S 0.531 0.440 0.190
16 S 0.560 0.810 0.469
17 S 0.696 0.068 0.932
18 S 0.810 0.469 0.560
19 S 0.932 0.068 0.304
20 S 0.932 0.696 0.068

20.
A plane-wave DFT calculation with PBE-GGA was carried out for SiRuPt2 after structural relaxation.

Summary:
The space group is P4mm, No. 99. The calculation puts the uncorrected formation energy at -0.312 eV per atom.

Unit cell a=2.872 b=2.872 c=6.968 alpha=90.00 beta=90.00 gamma=90.00
Element x y z (fractional)
1 Si 0.000 0.000 0.000
2 Ru 0.500 0.500 0.803
3 Pt 0.000 0.000 0.523
4 Pt 0.500 0.500 0.221